PrInCu5 | GGA-PBEsol | optimized geometry

Computed properties:
formation energy: -1.49 eV/f.u.
final energy: -4.47 eV per atom
theoretical density: 8.8 g/cm³

abc: 5.021 8.243 10.446
angles: 90.00 90.00 90.00
Sites, in units of the cell vectors:
1 Pr 0.750 0.744 0.441
2 Pr 0.250 0.256 0.559
3 Pr 0.250 0.756 0.941
4 Pr 0.750 0.244 0.059
5 In 0.750 0.860 0.139
6 In 0.250 0.140 0.861
7 In 0.250 0.640 0.639
8 In 0.750 0.360 0.361
9 Cu 0.750 0.682 0.755
10 Cu 0.250 0.318 0.245
11 Cu 0.250 0.818 0.255
12 Cu 0.750 0.182 0.745
13 Cu 0.000 0.933 0.688
14 Cu 0.000 0.067 0.312
15 Cu 0.000 0.567 0.188
16 Cu 0.500 0.067 0.312
17 Cu 0.000 0.433 0.812
18 Cu 0.500 0.933 0.688
19 Cu 0.500 0.433 0.812
20 Cu 0.500 0.567 0.188
21 Cu 0.750 0.940 0.893
22 Cu 0.250 0.060 0.107
23 Cu 0.250 0.560 0.393
24 Cu 0.750 0.440 0.607
25 Cu 0.750 0.585 0.984
26 Cu 0.250 0.415 0.016
27 Cu 0.250 0.915 0.484
28 Cu 0.750 0.085 0.516

=====

NiSe2 | GGA-PBEsol | optimized geometry

Computed properties:
final energy: -4.48 eV per atom
theoretical density: 6.9 g/cm³
energy relative to the elements, uncorrected: 0.142 eV/atom

abc: 2.812 4.311 4.311
angles: 90.00 90.00 90.00
Sites, in units of the cell vectors:
1 Ni 0.000 0.000 0.000
2 Se 0.500 0.000 0.500
3 Se 0.500 0.500 0.000

=====

Ga2PdPt2 | GGA-PBEsol | optimized geometry

Computed properties:
formation energy: -2.75 eV/f.u.
final energy: -5.86 eV per atom
theoretical density: 14.1 g/cm³

abc: 2.801 7.317 7.317
angles: 90.00 90.00 90.00
Sites, in units of the cell vectors:
1 Ga 0.500 0.162 0.662
2 Ga 0.500 0.662 0.838
3 Ga 0.500 0.838 0.338
4 Ga 0.500 0.338 0.162
5 Pd 0.000 0.000 0.000
6 Pd 0.000 0.500 0.500
7 Pt 0.000 0.362 0.862
8 Pt 0.000 0.862 0.638
9 Pt 0.000 0.638 0.138
10 Pt 0.000 0.138 0.362

=====

HfSiHgW2 | GGA-PBEsol | optimized geometry

Computed properties:
final energy: -7.91 eV per atom
theoretical density: 13.3 g/cm³
energy relative to the elements, uncorrected: 0.976 eV/atom

abc: 4.482 4.482 4.805
angles: 90.00 90.00 90.00
Sites, in units of the cell vectors:
1 Si 0.000 0.000 0.000
2 Hf 0.000 0.000 0.500
3 Hg 0.500 0.500 0.500
4 W 0.000 0.500 0.000
5 W 0.500 0.000 0.000

=====

HfCuAg2 | GGA-PBEsol | optimized geometry

Computed properties:
formation energy: 0.23 eV/f.u.
final energy: -5.31 eV per atom
theoretical density: 11.6 g/cm³

abc: 4.519 4.519 4.519
angles: 60.00 60.00 60.00
Sites, in units of the cell vectors:
1 Hf 0.500 0.500 0.500
2 Cu 0.000 0.000 0.000
3 Ag 0.250 0.250 0.250
4 Ag 0.750 0.750 0.750

=====

In2SiAs | GGA-PBEsol | optimized geometry

Computed properties:
final energy: -4.04 eV per atom
E above lowest polymorph: 0.0 meV/atom
theoretical density: 6.3 g/cm³
energy relative to the elements, uncorrected: 0.164 eV/atom

abc: 3.975 6.871 6.863
angles: 146.53 106.83 90.00
Sites, in units of the cell vectors:
1 As 0.000 0.500 0.000
2 In 0.249 0.251 0.498
3 In 0.751 0.749 0.502
4 Si 0.500 0.000 0.000